Compound: Ho8MgSc6
Source: the Alexandria database
Functional: GGA-PBE
Structure: optimized geometry

Results
ΔE_f (meV per atom): 189
N(E_F) (states/eV/cell): 24.57
Space-group type: R-3, No. 148
Raw total energy (eV/atom): -4.891

a = 9.2749 Å, b = 9.2749 Å, c = 7.8566 Å
α = 53.82°, β = 53.82°, γ = 60.00°
Element x y z (fractional)
Sc  0.6152  0.0486  0.0484
Sc  0.7122  0.3848  0.9516
Sc  0.3848  0.9514  0.9516
Ho  0.6300  0.7697  0.5350
Ho  0.7697  0.0653  0.5350
Mg  0.0000  0.0000  0.0000
Ho  0.3700  0.2303  0.4650
Sc  0.0486  0.2878  0.0484
Ho  0.5930  0.5930  0.2209
Ho  0.4070  0.4070  0.7791
Sc  0.9514  0.7122  0.9516
Ho  0.0653  0.6300  0.5350
Sc  0.2878  0.6152  0.0484
Ho  0.2303  0.9347  0.4650
Ho  0.9347  0.3700  0.4650


Compound: HoMg12Sc3
Source: the Alexandria database
Functional: GGA-PBE
Structure: optimized geometry

Results
ΔE_f (meV per atom): -45
N(E_F) (states/eV/cell): 12.19
Space-group type: P4/mmm, No. 123
Raw total energy (eV/atom): -2.714

a = 4.5138 Å, b = 4.5138 Å, c = 18.4581 Å
α = 90.00°, β = 90.00°, γ = 90.00°
Element x y z (fractional)
Mg  0.5000  0.0000  0.6228
Mg  0.0000  0.5000  0.6228
Mg  0.5000  0.5000  0.7457
Mg  0.0000  0.5000  0.3772
Ho  0.0000  0.0000  0.0000
Mg  0.5000  0.5000  0.0000
Mg  0.0000  0.5000  0.1302
Mg  0.5000  0.0000  0.3772
Mg  0.5000  0.0000  0.1302
Mg  0.5000  0.5000  0.5000
Sc  0.0000  0.0000  0.5000
Mg  0.0000  0.5000  0.8698
Sc  0.0000  0.0000  0.7460
Mg  0.5000  0.5000  0.2543
Mg  0.5000  0.0000  0.8698
Sc  0.0000  0.0000  0.2540


Compound: HoMg15Sc4
Source: the Alexandria database
Functional: GGA-PBE
Structure: optimized geometry

Results
ΔE_f (meV per atom): -43
N(E_F) (states/eV/cell): 17.02
Space-group type: P4/mmm, No. 123
Raw total energy (eV/atom): -2.735

a = 4.5830 Å, b = 4.5830 Å, c = 22.2531 Å
α = 90.00°, β = 90.00°, γ = 90.00°
Element x y z (fractional)
Sc  0.0000  0.0000  0.4020
Sc  0.0000  0.0000  0.7950
Mg  0.5000  0.5000  0.2053
Sc  0.0000  0.0000  0.2050
Mg  0.5000  0.0000  0.8944
Mg  0.0000  0.5000  0.8944
Mg  0.0000  0.5000  0.3034
Mg  0.0000  0.5000  0.6966
Mg  0.5000  0.0000  0.6966
Mg  0.5000  0.5000  0.0000
Mg  0.0000  0.5000  0.5000
Mg  0.5000  0.5000  0.7947
Mg  0.5000  0.0000  0.3034
Ho  0.0000  0.0000  0.0000
Mg  0.5000  0.0000  0.1056
Mg  0.5000  0.5000  0.4017
Sc  0.0000  0.0000  0.5980
Mg  0.0000  0.5000  0.1056
Mg  0.5000  0.5000  0.5983
Mg  0.5000  0.0000  0.5000